This record from Alexandria via LeMat-Bulk describes a geometry-optimized CeScOsRh structure. The functional is PBE-GGA.

Structure (POSCAR):
```
CeScOsRh
1.0
-2.340 -3.164 -2.658
-1.446 -4.100 1.911
-4.626 -0.770 0.748
Os Rh Ce Sc
1 1 1 1
Cartesian
-2.103 -2.008 0.000
-6.309 -6.025 0.001
-4.206 -4.017 0.001
0.000 0.000 0.000
```

Output
- crystal system = cubic
- raw total energy (eV per atom) = -8.23
- M_tot (μB per cell) = 0.0
- formation energy (eV per atom) = -0.519



This record from Alexandria via LeMat-Bulk describes a geometry-optimized CeSmOsRh structure. The functional is PBE-GGA.

Structure (POSCAR):
```
CeSmOsRh
1.0
-2.938 -3.950 -0.078
1.686 -4.288 -1.735
0.831 -3.747 3.084
Rh Ce Sm Os
1 1 1 1
Cartesian
0.000 0.000 0.000
-0.105 -2.996 0.318
-0.316 -8.989 0.953
-0.211 -5.993 0.635
```

Output
- crystal system = cubic
- raw total energy (eV per atom) = -7.67
- M_tot (μB per cell) = 0.0
- formation energy (eV per atom) = -0.360



This record from Alexandria via LeMat-Bulk describes a geometry-optimized CeTmOsRh structure. The functional is PBE-GGA.

Structure (POSCAR):
```
CeTmOsRh
1.0
-3.840 0.999 2.779
-0.659 -2.380 4.168
0.598 2.298 4.222
Rh Tm Os Ce
1 1 1 1
Cartesian
0.000 0.000 0.000
-2.926 0.688 8.377
-1.950 0.459 5.585
-0.975 0.229 2.792
```

Output
- crystal system = cubic
- raw total energy (eV per atom) = -7.74
- M_tot (μB per cell) = 0.1
- formation energy (eV per atom) = -0.497



This record from Alexandria via LeMat-Bulk describes a geometry-optimized CeYOsRh structure. The functional is PBE-GGA.

Structure (POSCAR):
```
CeYOsRh
1.0
-2.631 3.804 1.563
-0.144 1.078 4.759
2.246 4.002 1.665
Y Rh Os Ce
1 1 1 1
Cartesian
-0.264 4.442 3.994
-0.396 6.663 5.991
-0.132 2.221 1.997
0.000 0.000 0.000
```

Output
- crystal system = cubic
- raw total energy (eV per atom) = -8.18
- M_tot (μB per cell) = 0.1
- formation energy (eV per atom) = -0.434